i.
Density functional theory data (PBE) for an optimized crystal structure of CaLaMg2.

Its magnetic moment is 0.00 μB per formula unit.

a b c (Å): 11.5285 11.5285 11.5285
angles (deg): 17.97 17.97 17.97
With the nearest neighbours (Å) after each atom.
Sites, in units of the cell vectors:
1 Ca 0.2500 0.2500 0.2500  6 Mg 3.49, 6 Ca 3.60
2 Mg 0.5008 0.5008 0.5008  3 Ca 3.49, 3 La 3.54, 6 Mg 3.60
3 Mg 0.9992 0.9992 0.9992  3 Ca 3.49, 3 La 3.54, 6 Mg 3.60
4 La 0.7500 0.7500 0.7500  6 Mg 3.54, 6 La 3.60


ii.
Density functional theory data (PBE) for an optimized crystal structure of CaLaMg2.

Its magnetic moment is 0.00 μB per formula unit.

a b c (Å): 6.7671 6.7671 6.7671
angles (deg): 148.06 129.68 60.85
With the nearest neighbours (Å) after each atom.
Sites, in units of the cell vectors:
1 Mg 0.2276 0.7276 0.5000  2 Mg 3.03
2 Mg 0.0229 0.0229 0.0000  2 Mg 3.03
3 La 0.7684 0.2684 0.5000  6 Mg 3.46-3.51, 2 La 3.72, 4 Ca 3.80-3.83
4 Ca 0.4811 0.4811 0.0000  6 Mg 3.46-3.50, 2 Ca 3.72, 4 La 3.80-3.83


iii.
Density functional theory data (PBE) for an optimized crystal structure of CaLaMg2.

Its magnetic moment is 0.00 μB per formula unit.

a b c (Å): 3.6141 3.6141 9.5777
angles (deg): 90.00 90.00 90.00
With the nearest neighbours (Å) after each atom.
Sites, in units of the cell vectors:
1 Ca 0.0000 0.0000 0.4646  4 Mg 3.49, 4 Ca 3.61
2 Mg 0.5000 0.5000 0.2168  4 Mg 3.10
3 Mg 0.0000 0.0000 0.0329  4 Mg 3.10
4 La 0.5000 0.5000 0.7858  4 Mg 3.48, 4 La 3.61


iv.
Density functional theory data (PBE) for an optimized crystal structure of CaLaMg2.

Its magnetic moment is 0.00 μB per formula unit.

a b c (Å): 5.5392 5.5392 5.5392
angles (deg): 60.00 60.00 60.00
With the nearest neighbours (Å) after each atom.
Sites, in units of the cell vectors:
1 Mg 0.2500 0.2500 0.2500  4 Mg 3.39, 4 Ca 3.39
2 Mg 0.0000 0.0000 0.0000  4 Mg 3.39, 4 La 3.39
3 Ca 0.5000 0.5000 0.5000  4 La 3.39, 4 Mg 3.39
4 La 0.7500 0.7500 0.7500  4 Ca 3.39, 4 Mg 3.39


Stability, lowest: i


i.
Density functional theory data (PBE) for an optimized crystal structure of CaLaMg2.

Its magnetic moment is 0.00 μB per formula unit.

a b c (Å): 5.6183 3.9578 5.6210
angles (deg): 90.00 90.00 90.00
With the nearest neighbours (Å) after each atom.
Sites, in units of the cell vectors:
1 Mg 0.0000 0.1253 0.8737  4 Ca 3.43-3.44, 4 La 3.44
2 Mg 0.5000 0.1253 0.3763  4 La 3.43-3.44, 4 Ca 3.43-3.44
3 Ca 0.0000 0.6246 0.3741  8 Mg 3.43-3.44
4 La 0.5000 0.6249 0.8758  8 Mg 3.43-3.44


ii.
Density functional theory data (PBE) for an optimized crystal structure of CaLaMg2.

Its magnetic moment is 0.00 μB per formula unit.

a b c (Å): 3.4814 5.0720 7.0657
angles (deg): 90.00 90.00 90.00
With the nearest neighbours (Å) after each atom.
Sites, in units of the cell vectors:
1 Mg 0.5000 0.5000 0.2491  2 La 3.34-3.73, 4 Ca 3.46, 6 Mg 3.48-3.54
2 Mg 0.0000 0.0000 0.0003  2 Ca 3.35-3.72, 4 La 3.46, 6 Mg 3.48-3.54
3 Ca 0.0000 0.0000 0.4743  6 Mg 3.35-3.72, 2 Ca 3.48, 4 La 3.74
4 La 0.5000 0.5000 0.7764  6 Mg 3.34-3.73, 2 La 3.48


iii.
Density functional theory data (PBE) for an optimized crystal structure of CaLaMg2.

Its magnetic moment is 0.00 μB per formula unit.

a b c (Å): 3.6000 3.6000 11.5632
angles (deg): 81.04 81.04 60.00
With the nearest neighbours (Å) after each atom.
Sites, in units of the cell vectors:
1 Mg 0.2510 0.2510 0.2471  3 Ca 3.51, 3 La 3.57, 6 Mg 3.60
2 Mg 0.0825 0.0825 0.7524  3 Ca 3.49, 3 La 3.53, 6 Mg 3.60
3 Ca 0.6672 0.6672 0.9985  6 Mg 3.49-3.51, 6 Ca 3.60
4 La 0.4993 0.4993 0.5020  6 Mg 3.53-3.57, 6 La 3.60


Stability, lowest: iii


i.
Density functional theory data (PBE) for an optimized crystal structure of CaLaMg2.

Its magnetic moment is 0.00 μB per formula unit.

a b c (Å): 11.2530 11.2530 11.2530
angles (deg): 18.72 18.72 18.72
With the nearest neighbours (Å) after each atom.
Sites, in units of the cell vectors:
1 Mg 0.9923 0.9923 0.9923  3 Mg 3.12, 3 La 3.49
2 Mg 0.2564 0.2564 0.2564  3 Mg 3.12, 3 Ca 3.42
3 Ca 0.5088 0.5088 0.5088  3 Mg 3.42, 6 Ca 3.66
4 La 0.7426 0.7426 0.7426  3 Mg 3.49, 6 La 3.66


ii.
Density functional theory data (PBE) for an optimized crystal structure of CaLaMg2.

Its magnetic moment is 0.00 μB per formula unit.

a b c (Å): 4.0136 4.0122 7.7555
angles (deg): 90.00 90.00 90.00
With the nearest neighbours (Å) after each atom.
Sites, in units of the cell vectors:
1 Mg 0.0000 0.0000 0.9987  4 La 3.43, 4 Ca 3.44
2 Mg 0.0000 0.0000 0.5013  4 La 3.43, 4 Ca 3.44
3 Ca 0.5000 0.5000 0.2500  8 Mg 3.44
4 La 0.5000 0.5000 0.7500  8 Mg 3.43


iii.
Density functional theory data (PBE) for an optimized crystal structure of CaLaMg2.

Its magnetic moment is 0.00 μB per formula unit.

a b c (Å): 5.8645 5.8645 6.5352
angles (deg): 80.74 80.74 35.51
With the nearest neighbours (Å) after each atom.
Sites, in units of the cell vectors:
1 La 0.2500 0.2500 0.2500  6 Mg 3.49-3.51, 2 La 3.58, 4 Ca 3.73
2 Mg 0.0010 0.0010 0.9906  3 Ca 3.44-3.45, 3 La 3.49-3.51, 6 Mg 3.58-3.83
3 Mg 0.4990 0.4990 0.5094  3 Ca 3.44-3.45, 3 La 3.49-3.51, 6 Mg 3.58-3.83
4 Ca 0.7500 0.7500 0.7500  6 Mg 3.44-3.45, 2 Ca 3.58, 4 La 3.73


Stability, lowest: i


i.
Density functional theory data (PBE) for an optimized crystal structure of CaLaMg.

Its magnetic moment is 0.00 μB per formula unit.

a b c (Å): 6.2645 6.2645 6.2645
angles (deg): 146.75 130.90 60.59
With the nearest neighbours (Å) after each atom.
Sites, in units of the cell vectors:
1 Mg 0.6692 0.6692 0.0000  2 Mg 3.58, 5 La 3.59-3.72, 5 Ca 3.62-3.63
2 Ca 0.0051 0.0051 0.0000  5 La 3.47-3.71, 2 Ca 3.58, 5 Mg 3.62-3.63
3 La 0.3257 0.3257 0.0000  5 Ca 3.47-3.71, 2 La 3.58, 5 Mg 3.59-3.72


ii.
Density functional theory data (PBE) for an optimized crystal structure of CaLaMg.

Its magnetic moment is 0.33 μB per formula unit.

a b c (Å): 7.7517 7.7516 9.6116
angles (deg): 114.06 114.06 89.33
With the nearest neighbours (Å) after each atom.
Sites, in units of the cell vectors:
1 La 0.4048 0.8299 0.7349  4 Mg 3.35-3.43, 1 La 3.70
2 La 0.1550 0.0800 0.2350  4 Mg 3.35-3.43, 1 La 3.70
3 La 0.1699 0.5951 0.2650  4 Mg 3.35-3.43, 1 La 3.70
4 La 0.9201 0.8452 0.7650  4 Mg 3.35-3.43, 1 La 3.70
5 Ca 0.6592 0.0842 0.2434  4 Mg 3.33-3.39
6 Ca 0.4091 0.3342 0.7434  4 Mg 3.33-3.39
7 Ca 0.9158 0.3409 0.7566  4 Mg 3.33-3.39
8 Ca 0.6656 0.5909 0.2566  4 Mg 3.33-3.39
9 Mg 0.7844 0.7095 0.0001  4 Ca 3.33-3.39, 4 La 3.35-3.43
10 Mg 0.5407 0.9656 0.5000  4 Ca 3.33-3.39, 4 La 3.35-3.43
11 Mg 0.0344 0.4593 0.5000  4 Ca 3.33-3.39, 4 La 3.35-3.43
12 Mg 0.2906 0.2156 0.0000  4 Ca 3.33-3.39, 4 La 3.35-3.43


iii.
Density functional theory data (PBE) for an optimized crystal structure of CaLaMg.

Its magnetic moment is 0.00 μB per formula unit.

a b c (Å): 3.9077 3.9077 13.3357
angles (deg): 90.00 90.00 90.00
With the nearest neighbours (Å) after each atom.
Sites, in units of the cell vectors:
1 La 0.0000 0.5000 0.5905  4 Mg 3.45, 4 La 3.67
2 La 0.5000 0.0000 0.4095  4 Mg 3.45, 4 La 3.67
3 Ca 0.5000 0.0000 0.1039  4 Mg 3.42
4 Ca 0.0000 0.5000 0.8961  4 Mg 3.42
5 Mg 0.0000 0.5000 0.2547  4 Ca 3.42, 4 La 3.45
6 Mg 0.5000 0.0000 0.7453  4 Ca 3.42, 4 La 3.45


Stability, lowest: ii


i.
Density functional theory data (PBE) for an optimized crystal structure of CaLaMg.

Its magnetic moment is 0.00 μB per formula unit.

a b c (Å): 5.5004 5.5004 5.5004
angles (deg): 60.00 60.00 60.00
With the nearest neighbours (Å) after each atom.
Sites, in units of the cell vectors:
1 Ca 0.0000 0.0000 0.0000  4 Mg 3.37
2 Mg 0.2500 0.2500 0.2500  4 La 3.37, 4 Ca 3.37
3 La 0.5000 0.5000 0.5000  4 Mg 3.37


ii.
Density functional theory data (PBE) for an optimized crystal structure of CaLaMg.

Its magnetic moment is 0.00 μB per formula unit.

a b c (Å): 5.4384 5.4384 8.0184
angles (deg): 90.00 90.00 90.00
With the nearest neighbours (Å) after each atom.
Sites, in units of the cell vectors:
1 Ca 0.0000 0.0000 0.0000  4 Mg 3.39
2 Ca 0.5000 0.5000 0.0000  4 Mg 3.39
3 La 0.5000 0.5000 0.5000  4 Mg 3.36
4 La 0.0000 0.0000 0.5000  4 Mg 3.36
5 Mg 0.5000 0.0000 0.7470  4 La 3.36, 4 Ca 3.39
6 Mg 0.0000 0.5000 0.2530  4 La 3.36, 4 Ca 3.39


Stability, lowest: i


i.
Density functional theory data (PBE) for an optimized crystal structure of CaLaMg14.

Its magnetic moment is 0.00 μB per formula unit.

a b c (Å): 6.7023 6.7023 10.4485
angles (deg): 90.00 90.00 120.00
With the nearest neighbours (Å) after each atom.
Sites, in units of the cell vectors:
1 Mg 0.0051 0.5025 0.0000  10 Mg 3.22-3.40, 2 Ca 3.35
2 Mg 0.1720 0.8280 0.7505  10 Mg 3.22-3.46, 1 Ca 3.28, 1 La 3.29
3 Mg 0.1720 0.3441 0.2495  10 Mg 3.22-3.46, 1 Ca 3.28, 1 La 3.29
4 Mg 0.6559 0.8280 0.7505  10 Mg 3.22-3.46, 1 Ca 3.28, 1 La 3.29
5 Mg 0.6667 0.3333 0.2557  12 Mg 3.25-3.35
6 Mg 0.4975 0.5025 0.0000  10 Mg 3.22-3.40, 2 Ca 3.35
7 Mg 0.0124 0.5062 0.5000  10 Mg 3.22-3.48, 2 La 3.35
8 Mg 0.1720 0.8280 0.2495  10 Mg 3.22-3.46, 1 Ca 3.28, 1 La 3.29
9 Mg 0.4938 0.9876 0.5000  10 Mg 3.22-3.48, 2 La 3.35
10 Mg 0.6667 0.3333 0.7443  12 Mg 3.25-3.35
11 Mg 0.6559 0.8280 0.2495  10 Mg 3.22-3.46, 1 Ca 3.28, 1 La 3.29
12 Mg 0.4938 0.5062 0.5000  10 Mg 3.22-3.48, 2 La 3.35
13 Mg 0.4975 0.9949 0.0000  10 Mg 3.22-3.40, 2 Ca 3.35
14 Mg 0.1720 0.3441 0.7505  10 Mg 3.22-3.46, 1 Ca 3.28, 1 La 3.29
15 Ca 0.0000 0.0000 0.0000  12 Mg 3.28-3.35
16 La 0.0000 0.0000 0.5000  12 Mg 3.29-3.35


ii.
Density functional theory data (PBE) for an optimized crystal structure of CaLaMg14.

Its magnetic moment is 0.00 μB per formula unit.

a b c (Å): 6.5107 6.5107 10.4197
angles (deg): 90.00 90.00 113.07
With the nearest neighbours (Å) after each atom.
Sites, in units of the cell vectors:
1 Mg 0.8433 0.6992 0.0000  11 Mg 3.18-3.34
2 Mg 0.1456 0.8544 0.2586  9 Mg 3.19-3.35, 1 Ca 3.48
3 Mg 0.3270 0.6730 0.0000  10 Mg 3.12-3.34
4 Mg 0.8955 0.5627 0.5000  5 Mg 3.15-3.29, 2 La 3.22-3.31, 2 Ca 3.24-3.28
5 Mg 0.8043 0.1957 0.0000  10 Mg 3.08-3.34
6 Mg 0.6240 0.3760 0.7541  9 Mg 3.15-3.29
7 Mg 0.1456 0.8544 0.7414  9 Mg 3.19-3.35, 1 Ca 3.48
8 Mg 0.3008 0.1567 0.0000  11 Mg 3.18-3.34
9 Mg 0.6428 0.8795 0.2321  8 Mg 3.08-3.43, 1 Ca 3.31, 1 La 3.37
10 Mg 0.1205 0.3572 0.7679  8 Mg 3.08-3.43, 1 Ca 3.31, 1 La 3.37
11 Mg 0.6240 0.3760 0.2459  9 Mg 3.15-3.29
12 Mg 0.4373 0.1045 0.5000  5 Mg 3.15-3.29, 2 La 3.22-3.31, 2 Ca 3.24-3.28
13 Mg 0.1205 0.3572 0.2321  8 Mg 3.08-3.43, 1 Ca 3.31, 1 La 3.37
14 Mg 0.6428 0.8795 0.7679  8 Mg 3.08-3.43, 1 Ca 3.31, 1 La 3.37
15 Ca 0.9237 0.0763 0.5000  10 Mg 3.24-3.48, 2 La 3.60
16 La 0.4023 0.5977 0.5000  10 Mg 3.22-3.58, 2 Ca 3.60


Stability, lowest: ii